1.
# CrPb2Cl | Alexandria | meta-GGA SCAN | single point on PBEsol structure
# Energy above the most stable polymorph in this dataset ... 0.199 eV per atom
# E_form (uncorrected) ... 0.002 eV/atom
data_CrPb2Cl
_chemical_formula_sum 'Cr3 Pb6 Cl3'
_cell_length_a 3.5118
_cell_length_b 3.5118
_cell_length_c 26.7147
_cell_angle_alpha 90.00
_cell_angle_beta 90.00
_cell_angle_gamma 120.00
_space_group_name_H-M_alt 'R -3 m'
_space_group_IT_number 166
_space_group_name_Hall '-R 3 2"'
loop_
_atom_site_label
_atom_site_fract_x
_atom_site_fract_y
_atom_site_fract_z
Cr1 0.0000 0.0000 0.0000
Pb1 0.0000 0.0000 0.2538
Cl1 0.0000 0.0000 0.5000

2.
# CrPb2Cl | Alexandria | meta-GGA SCAN | single point on PBEsol structure
# Energy above the most stable polymorph in this dataset ... 0.000 eV per atom
# E_form (uncorrected) ... -0.197 eV/atom
data_CrPb2Cl
_chemical_formula_sum 'Cr2 Pb4 Cl2'
_cell_length_a 3.2921
_cell_length_b 5.4841
_cell_length_c 10.4779
_cell_angle_alpha 90.00
_cell_angle_beta 90.00
_cell_angle_gamma 90.00
_space_group_name_H-M_alt 'I m m 2'
_space_group_IT_number 44
_space_group_name_Hall 'I 2 -2'
loop_
_atom_site_label
_atom_site_fract_x
_atom_site_fract_y
_atom_site_fract_z
Cr1 0.0000 0.0000 0.0000
Pb1 0.0000 0.0000 0.4756
Pb2 0.0000 0.5000 0.2692
Cl1 0.0000 0.5000 0.6727

3.
# CrPbCl | Alexandria | meta-GGA SCAN | single point on PBEsol structure
# Energy above the most stable polymorph in this dataset ... 0.306 eV per atom
# E_form (uncorrected) ... -0.005 eV/atom
data_CrPbCl
_chemical_formula_sum 'Cr1 Pb1 Cl1'
_cell_length_a 4.4004
_cell_length_b 4.4004
_cell_length_c 3.7047
_cell_angle_alpha 90.00
_cell_angle_beta 90.00
_cell_angle_gamma 120.00
_space_group_name_H-M_alt 'P -6 m 2'
_space_group_IT_number 187
_space_group_name_Hall 'P -6 2'
loop_
_atom_site_label
_atom_site_fract_x
_atom_site_fract_y
_atom_site_fract_z
Cr1 0.0000 0.0000 0.0000
Pb1 0.6667 0.3333 0.5000
Cl1 0.3333 0.6667 0.0000

4.
# CrPb2Cl | Alexandria | meta-GGA SCAN | single point on PBEsol structure
# Energy above the most stable polymorph in this dataset ... 0.138 eV per atom
# E_form (uncorrected) ... -0.059 eV/atom
data_CrPb2Cl
_chemical_formula_sum 'Cr1 Pb2 Cl1'
_cell_length_a 3.3985
_cell_length_b 3.3985
_cell_length_c 8.0534
_cell_angle_alpha 90.00
_cell_angle_beta 90.00
_cell_angle_gamma 90.00
_space_group_name_H-M_alt 'P 4/m m m'
_space_group_IT_number 123
_space_group_name_Hall '-P 4 2'
loop_
_atom_site_label
_atom_site_fract_x
_atom_site_fract_y
_atom_site_fract_z
Cr1 0.0000 0.0000 0.0000
Pb1 0.5000 0.5000 0.2298
Cl1 0.0000 0.0000 0.5000

5.
# CrPb3Cl | Alexandria | meta-GGA SCAN | single point on PBEsol structure
# E_form (uncorrected) ... 0.527 eV/atom
data_CrPb3Cl
_chemical_formula_sum 'Cr1 Pb3 Cl1'
_cell_length_a 5.3865
_cell_length_b 5.3865
_cell_length_c 5.3865
_cell_angle_alpha 90.00
_cell_angle_beta 90.00
_cell_angle_gamma 90.00
_space_group_name_H-M_alt 'P m -3 m'
_space_group_IT_number 221
_space_group_name_Hall '-P 4 2 3'
loop_
_atom_site_label
_atom_site_fract_x
_atom_site_fract_y
_atom_site_fract_z
Cr1 0.0000 0.0000 0.0000
Pb1 0.0000 0.5000 0.5000
Cl1 0.5000 0.5000 0.5000

6.
# CrPbCl | Alexandria | meta-GGA SCAN | single point on PBEsol structure
# Energy above the most stable polymorph in this dataset ... 0.016 eV per atom
# E_form (uncorrected) ... -0.294 eV/atom
data_CrPbCl
_chemical_formula_sum 'Cr2 Pb2 Cl2'
_cell_length_a 3.1993
_cell_length_b 3.1993
_cell_length_c 13.4737
_cell_angle_alpha 90.00
_cell_angle_beta 90.00
_cell_angle_gamma 90.00
_space_group_name_H-M_alt 'I 4 m m'
_space_group_IT_number 107
_space_group_name_Hall 'I 4 -2'
loop_
_atom_site_label
_atom_site_fract_x
_atom_site_fract_y
_atom_site_fract_z
Cr1 0.0000 0.0000 0.0000
Pb1 0.0000 0.0000 0.6597
Cl1 0.0000 0.0000 0.4029

7.
# CrPb2Cl | Alexandria | meta-GGA SCAN | single point on PBEsol structure
# Energy above the most stable polymorph in this dataset ... 0.274 eV per atom
# E_form (uncorrected) ... 0.076 eV/atom
data_CrPb2Cl
_chemical_formula_sum 'Cr2 Pb4 Cl2'
_cell_length_a 4.6594
_cell_length_b 4.6594
_cell_length_c 8.7333
_cell_angle_alpha 90.00
_cell_angle_beta 90.00
_cell_angle_gamma 90.00
_space_group_name_H-M_alt 'I 4/m m m'
_space_group_IT_number 139
_space_group_name_Hall '-I 4 2'
loop_
_atom_site_label
_atom_site_fract_x
_atom_site_fract_y
_atom_site_fract_z
Cr1 0.0000 0.0000 0.0000
Pb1 0.0000 0.5000 0.2500
Cl1 0.0000 0.0000 0.5000

8.
# CrPdCl2 | Alexandria | meta-GGA SCAN | single point on PBEsol structure
# E_form (uncorrected) ... -0.354 eV/atom
data_CrPdCl2
_chemical_formula_sum 'Cr4 Pd4 Cl8'
_cell_length_a 4.5784
_cell_length_b 4.5784
_cell_length_c 14.4210
_cell_angle_alpha 90.00
_cell_angle_beta 90.00
_cell_angle_gamma 90.00
_space_group_name_H-M_alt 'I -4 2 d'
_space_group_IT_number 122
_space_group_name_Hall 'I -4 2bw'
loop_
_atom_site_label
_atom_site_fract_x
_atom_site_fract_y
_atom_site_fract_z
Cr1 0.0000 0.0000 0.0000
Pd1 0.0000 0.0000 0.5000
Cl1 0.2376 0.2500 0.1250

What did the eighth record say?
# CrPdCl2 | Alexandria | meta-GGA SCAN | single point on PBEsol structure
# E_form (uncorrected) ... -0.354 eV/atom
data_CrPdCl2
_chemical_formula_sum 'Cr4 Pd4 Cl8'
_cell_length_a 4.5784
_cell_length_b 4.5784
_cell_length_c 14.4210
_cell_angle_alpha 90.00
_cell_angle_beta 90.00
_cell_angle_gamma 90.00
_space_group_name_H-M_alt 'I -4 2 d'
_space_group_IT_number 122
_space_group_name_Hall 'I -4 2bw'
loop_
_atom_site_label
_atom_site_fract_x
_atom_site_fract_y
_atom_site_fract_z
Cr1 0.0000 0.0000 0.0000
Pd1 0.0000 0.0000 0.5000
Cl1 0.2376 0.2500 0.1250

Repeat the second record exactly.
# CrPb2Cl | Alexandria | meta-GGA SCAN | single point on PBEsol structure
# Energy above the most stable polymorph in this dataset ... 0.000 eV per atom
# E_form (uncorrected) ... -0.197 eV/atom
data_CrPb2Cl
_chemical_formula_sum 'Cr2 Pb4 Cl2'
_cell_length_a 3.2921
_cell_length_b 5.4841
_cell_length_c 10.4779
_cell_angle_alpha 90.00
_cell_angle_beta 90.00
_cell_angle_gamma 90.00
_space_group_name_H-M_alt 'I m m 2'
_space_group_IT_number 44
_space_group_name_Hall 'I 2 -2'
loop_
_atom_site_label
_atom_site_fract_x
_atom_site_fract_y
_atom_site_fract_z
Cr1 0.0000 0.0000 0.0000
Pb1 0.0000 0.0000 0.4756
Pb2 0.0000 0.5000 0.2692
Cl1 0.0000 0.5000 0.6727

Which value of E_form (uncorrected) does entry 1 give? 0.002 eV/atom